Record 1
## Er3ZrIr4 (PBE-GGA)

Data for a geometry-optimized Er3ZrIr4 structure.

Results
The formation energy comes out at -864.9 meV/atom. The value obtained for the theoretical density is 14.689 Mg/m³. The magnetic moment is 0.00 μB per formula unit. The total energy comes out at -8.075 eV per atom. For the density of states at the Fermi level, the calculation gives 2.51 states/eV per cell.

Geometry as CIF:
```
data_Er3ZrIr4
_space_group_name_H-M_alt 'P m m m'
_space_group_IT_number 47
_cell_length_a 3.242
_cell_length_b 4.867
_cell_length_c 9.755
_cell_angle_alpha 90.00
_cell_angle_beta 90.00
_cell_angle_gamma 90.00
loop_
_space_group_symop_operation_xyz
'x,y,z'
'-x,-y,-z'
'-x,-y,z'
'x,y,-z'
'x,-y,-z'
'-x,y,z'
'-x,y,-z'
'x,-y,z'
loop_
_atom_site_label
_atom_site_type_symbol
_atom_site_fract_x
_atom_site_fract_y
_atom_site_fract_z
Er1 Er 0.000 0.000 0.000
Er2 Er 0.000 0.500 0.249
Zr1 Zr 0.000 0.000 0.500
Ir1 Ir 0.500 0.000 0.265
Ir2 Ir 0.500 0.500 0.000
Ir3 Ir 0.500 0.500 0.500
```

---

Record 2
## Er4ZrIr5 (PBE-GGA)

Data for a geometry-optimized Er4ZrIr5 structure.

Results
The formation energy comes out at -868.3 meV/atom. The value obtained for the theoretical density is 14.781 Mg/m³. The magnetic moment is 0.00 μB per formula unit. The total energy comes out at -7.979 eV per atom. For the density of states at the Fermi level, the calculation gives 4.94 states/eV per cell.

Geometry as CIF:
```
data_Er4ZrIr5
_space_group_name_H-M_alt 'P 4/m m m'
_space_group_IT_number 123
_space_group_name_Hall '-P 4 2'
_cell_length_a 3.331
_cell_length_b 3.331
_cell_length_c 17.430
_cell_angle_alpha 90.00
_cell_angle_beta 90.00
_cell_angle_gamma 90.00
loop_
_atom_site_label
_atom_site_type_symbol
_atom_site_fract_x
_atom_site_fract_y
_atom_site_fract_z
Er1 Er 0.000 0.000 0.101
Er2 Er 0.000 0.000 0.303
Zr1 Zr 0.000 0.000 0.500
Ir1 Ir 0.500 0.500 0.000
Ir2 Ir 0.500 0.500 0.204
Ir3 Ir 0.500 0.500 0.410
```

---

Record 3
## Er5ZrIr6 (PBE-GGA)

Data for a geometry-optimized Er5ZrIr6 structure.

Results
The formation energy comes out at -882.6 meV/atom. The value obtained for the theoretical density is 14.891 Mg/m³. The magnetic moment is 0.00 μB per formula unit. The total energy comes out at -7.927 eV per atom. For the density of states at the Fermi level, the calculation gives 4.63 states/eV per cell.

Geometry as CIF:
```
data_Er5ZrIr6
_space_group_name_H-M_alt 'C m m m'
_space_group_IT_number 65
_space_group_name_Hall '-C 2 2'
_cell_length_a 4.691
_cell_length_b 14.088
_cell_length_c 7.022
_cell_angle_alpha 90.00
_cell_angle_beta 90.00
_cell_angle_gamma 90.00
loop_
_atom_site_label
_atom_site_type_symbol
_atom_site_fract_x
_atom_site_fract_y
_atom_site_fract_z
Er1 Er 0.000 0.000 0.000
Er2 Er 0.000 0.332 0.500
Er3 Er 0.000 0.334 0.000
Zr1 Zr 0.000 0.000 0.500
Ir1 Ir 0.000 0.162 0.254
Ir2 Ir 0.000 0.500 0.263
```

---

Record 4
## Er2ZrIr3 (PBE-GGA)

Data for a geometry-optimized Er2ZrIr3 structure.

Results
The formation energy comes out at -846.7 meV/atom. The value obtained for the theoretical density is 14.492 Mg/m³. The magnetic moment is 0.00 μB per formula unit. The total energy comes out at -8.223 eV per atom. For the density of states at the Fermi level, the calculation gives 7.11 states/eV per cell.

Geometry as CIF:
```
data_Er2ZrIr3
_space_group_name_H-M_alt 'P -3 m 1'
_space_group_IT_number 164
_space_group_name_Hall '-P 3 2"'
_cell_length_a 4.7600
_cell_length_b 4.7600
_cell_length_c 11.7073
_cell_angle_alpha 90.00
_cell_angle_beta 90.00
_cell_angle_gamma 120.00
loop_
_atom_site_label
_atom_site_type_symbol
_atom_site_fract_x
_atom_site_fract_y
_atom_site_fract_z
Er1 Er 0.0000 0.0000 0.0000
Er2 Er 0.0000 0.0000 0.5000
Er3 Er 0.3333 0.6667 0.1661
Zr1 Zr 0.3333 0.6667 0.6662
Ir1 Ir 0.0000 0.0000 0.2580
Ir2 Ir 0.3333 0.6667 0.4158
Ir3 Ir 0.3333 0.6667 0.9061
```

---

Record 5
## K4Er (PBE-GGA)

Data for a geometry-optimized K4Er structure.

Results
The formation energy comes out at 723.1 meV/atom. The value obtained for the theoretical density is 1.294 Mg/m³. The magnetic moment is 2.31 μB per formula unit. The total energy comes out at -1.067 eV per atom. For the density of states at the Fermi level, the calculation gives 11.38 states/eV per cell.

Geometry as CIF:
```
data_K4Er
_space_group_name_H-M_alt 'P m -3 m'
_space_group_IT_number 221
_space_group_name_Hall '-P 4 2 3'
_cell_length_a 7.461
_cell_length_b 7.461
_cell_length_c 7.461
_cell_angle_alpha 90.00
_cell_angle_beta 90.00
_cell_angle_gamma 90.00
loop_
_atom_site_label
_atom_site_type_symbol
_atom_site_fract_x
_atom_site_fract_y
_atom_site_fract_z
K1 K 0.000 0.000 0.000
K2 K 0.000 0.500 0.500
Er1 Er 0.500 0.500 0.500
```

---

Record 6
## K4La3ErO8 (PBE-GGA)

Data for a geometry-optimized K4La3ErO8 structure.

Results
The value obtained for the theoretical density is 4.948 Mg/m³. The magnetic moment is 0.00 μB per formula unit. For the uncorrected formation energy, the calculation gives -2.682 eV/atom. The total energy comes out at -6.645 eV per atom. For the density of states at the Fermi level, the calculation gives 0.00 states/eV per cell.

Geometry as CIF:
```
data_K4La3ErO8
_space_group_name_H-M_alt 'R -3 m'
_space_group_IT_number 166
_space_group_name_Hall '-R 3 2"'
_cell_length_a 7.3172
_cell_length_b 7.3172
_cell_length_c 18.8533
_cell_angle_alpha 90.00
_cell_angle_beta 90.00
_cell_angle_gamma 120.00
loop_
_atom_site_label
_atom_site_type_symbol
_atom_site_fract_x
_atom_site_fract_y
_atom_site_fract_z
K1 K 0.0000 0.0000 0.0000
K2 K 0.0000 0.5000 0.0000
La1 La 0.0000 0.5000 0.5000
Er1 Er 0.0000 0.0000 0.5000
O1 O 0.0000 0.0000 0.2305
O2 O 0.0146 0.5073 0.2294
```

---

Record 7
## K3LaEr2S6 (PBE-GGA)

Data for a geometry-optimized K3LaEr2S6 structure.

Results
The value obtained for the theoretical density is 4.021 Mg/m³. The magnetic moment is 0.00 μB per formula unit. For the uncorrected formation energy, the calculation gives -1.893 eV/atom. The total energy comes out at -5.402 eV per atom. For the density of states at the Fermi level, the calculation gives 0.00 states/eV per cell.

Geometry as CIF:
```
data_K3LaEr2S6
_space_group_name_H-M_alt 'C 1 2/m 1'
_space_group_IT_number 12
_cell_length_a 7.117
_cell_length_b 12.328
_cell_length_c 7.747
_cell_angle_alpha 90.00
_cell_angle_beta 107.86
_cell_angle_gamma 90.00
loop_
_space_group_symop_operation_xyz
'x,y,z'
'-x,-y,-z'
'-x,y,-z'
'x,-y,z'
'x+1/2,y+1/2,z'
'-x+1/2,-y+1/2,-z'
'-x+1/2,y+1/2,-z'
'x+1/2,-y+1/2,z'
loop_
_atom_site_label
_atom_site_type_symbol
_atom_site_fract_x
_atom_site_fract_y
_atom_site_fract_z
K1 K 0.000 0.000 0.000
K2 K 0.000 0.335 0.000
La1 La 0.000 0.500 0.500
Er1 Er 0.000 0.167 0.500
S1 S 0.220 0.000 0.702
S2 S 0.241 0.326 0.702
```

---

Record 8
## KLa2ErSe4 (PBE-GGA)

Data for a geometry-optimized KLa2ErSe4 structure.

Results
The value obtained for the theoretical density is 5.908 Mg/m³. The magnetic moment is 0.00 μB per formula unit. For the uncorrected formation energy, the calculation gives -1.778 eV/atom. The total energy comes out at -5.460 eV per atom. For the density of states at the Fermi level, the calculation gives 3.17 states/eV per cell.

Geometry as CIF:
```
data_KLa2ErSe4
_space_group_name_H-M_alt 'P 1 2/m 1'
_space_group_IT_number 10
_cell_length_a 7.411
_cell_length_b 4.259
_cell_length_c 7.528
_cell_angle_alpha 90.00
_cell_angle_beta 108.87
_cell_angle_gamma 90.00
loop_
_space_group_symop_operation_xyz
'x,y,z'
'-x,-y,-z'
'-x,y,-z'
'x,-y,z'
loop_
_atom_site_label
_atom_site_type_symbol
_atom_site_fract_x
_atom_site_fract_y
_atom_site_fract_z
K1 K 0.000 0.000 0.000
La1 La 0.500 0.000 0.500
La2 La 0.500 0.500 0.000
Er1 Er 0.000 0.500 0.500
Se1 Se 0.237 0.000 0.732
Se2 Se 0.251 0.500 0.268
```

---

Record 9
## KLaEr4Se8 (PBE-GGA)

Data for a geometry-optimized KLaEr4Se8 structure.

Results
The value obtained for the theoretical density is 5.450 Mg/m³. The magnetic moment is 0.00 μB per formula unit. For the uncorrected formation energy, the calculation gives -1.757 eV/atom. The total energy comes out at -5.483 eV per atom. For the density of states at the Fermi level, the calculation gives 0.00 states/eV per cell.

Geometry as CIF:
```
data_KLaEr4Se8
_space_group_name_H-M_alt 'R 3 m'
_space_group_IT_number 160
_space_group_name_Hall 'R 3 -2"'
_cell_length_a 8.4962
_cell_length_b 8.4962
_cell_length_c 21.6195
_cell_angle_alpha 90.00
_cell_angle_beta 90.00
_cell_angle_gamma 120.00
loop_
_atom_site_label
_atom_site_type_symbol
_atom_site_fract_x
_atom_site_fract_y
_atom_site_fract_z
K1 K 0.0000 0.0000 0.0000
La1 La 0.0000 0.0000 0.3650
Er1 Er 0.0000 0.0000 0.7432
Er2 Er 0.0124 0.5062 0.8709
Se1 Se 0.0000 0.0000 0.1365
Se2 Se 0.0000 0.0000 0.6121
Se3 Se 0.0121 0.5060 0.1252
Se4 Se 0.1834 0.3669 0.9425
```

---

Record 10
## K3La3ErSe8 (PBE-GGA)

Data for a geometry-optimized K3La3ErSe8 structure.

Results
The value obtained for the theoretical density is 4.297 Mg/m³. The magnetic moment is 0.00 μB per formula unit. For the uncorrected formation energy, the calculation gives -1.714 eV/atom. The total energy comes out at -5.081 eV per atom. For the density of states at the Fermi level, the calculation gives 43.94 states/eV per cell.

Geometry as CIF:
```
data_K3La3ErSe8
_space_group_name_H-M_alt 'R -3 m'
_space_group_IT_number 166
_space_group_name_Hall '-R 3 2"'
_cell_length_a 8.7602
_cell_length_b 8.7602
_cell_length_c 23.2472
_cell_angle_alpha 90.00
_cell_angle_beta 90.00
_cell_angle_gamma 120.00
loop_
_atom_site_label
_atom_site_type_symbol
_atom_site_fract_x
_atom_site_fract_y
_atom_site_fract_z
K1 K 0.0000 0.5000 0.0000
La1 La 0.0000 0.5000 0.5000
Er1 Er 0.0000 0.0000 0.5000
Se1 Se 0.0000 0.0000 0.2377
Se2 Se 0.0152 0.5076 0.2336
```

---

Record 11
## K4La3ErSe8 (PBE-GGA)

Data for a geometry-optimized K4La3ErSe8 structure.

Results
The value obtained for the theoretical density is 4.464 Mg/m³. The magnetic moment is 0.00 μB per formula unit. For the uncorrected formation energy, the calculation gives -1.806 eV/atom. The total energy comes out at -5.032 eV per atom. For the density of states at the Fermi level, the calculation gives 0.00 states/eV per cell.

Geometry as CIF:
```
data_K4La3ErSe8
_space_group_name_H-M_alt 'R -3 m'
_space_group_IT_number 166
_space_group_name_Hall '-R 3 2"'
_cell_length_a 8.7577
_cell_length_b 8.7577
_cell_length_c 23.0535
_cell_angle_alpha 90.00
_cell_angle_beta 90.00
_cell_angle_gamma 120.00
loop_
_atom_site_label
_atom_site_type_symbol
_atom_site_fract_x
_atom_site_fract_y
_atom_site_fract_z
K1 K 0.0000 0.0000 0.0000
K2 K 0.0000 0.5000 0.0000
La1 La 0.0000 0.5000 0.5000
Er1 Er 0.0000 0.0000 0.5000
Se1 Se 0.0000 0.0000 0.2379
Se2 Se 0.0123 0.5061 0.2360
```

---

Record 12
## K2LaErSe4 (PBE-GGA)

Data for a geometry-optimized K2LaErSe4 structure.

Results
The value obtained for the theoretical density is 4.693 Mg/m³. The magnetic moment is 0.00 μB per formula unit. For the uncorrected formation energy, the calculation gives -1.784 eV/atom. The total energy comes out at -4.987 eV per atom. For the density of states at the Fermi level, the calculation gives 0.00 states/eV per cell.

Geometry as CIF:
```
data_K2LaErSe4
_space_group_name_H-M_alt 'P 1 2/m 1'
_space_group_IT_number 10
_cell_length_a 7.474
_cell_length_b 4.312
_cell_length_c 8.079
_cell_angle_alpha 90.00
_cell_angle_beta 107.91
_cell_angle_gamma 90.00
loop_
_space_group_symop_operation_xyz
'x,y,z'
'-x,-y,-z'
'-x,y,-z'
'x,-y,z'
loop_
_atom_site_label
_atom_site_type_symbol
_atom_site_fract_x
_atom_site_fract_y
_atom_site_fract_z
K1 K 0.000 0.000 0.000
K2 K 0.500 0.500 0.000
La1 La 0.000 0.500 0.500
Er1 Er 0.500 0.000 0.500
Se1 Se 0.249 0.000 0.710
Se2 Se 0.277 0.500 0.295
```